# BaCo2As2O8 | OQMD via LeMat-Bulk | GGA+U | optimized geometry
# ΔE to the lowest computed polymorph (meV per atom): 0
# Density (g/cm3): 5.26
# VASP energy (eV/atom): -6.260
# SG: R-3 (148)
data_BaCo2As2O8
_chemical_formula_sum 'Ba1 Co2 As2 O8'
_space_group_name_H-M_alt 'P 1'
_space_group_IT_number 1
_space_group_name_Hall 'P 1'
_cell_length_a 5.0095
_cell_length_b 5.0095
_cell_length_c 8.2708
_cell_angle_alpha 72.37
_cell_angle_beta 107.63
_cell_angle_gamma 120.00
loop_
_atom_site_label
_atom_site_fract_x
_atom_site_fract_y
_atom_site_fract_z
O1 0.1227 0.5646 0.3418
O2 0.2164 0.1227 0.6583
O3 0.7836 0.8773 0.3417
O4 0.5646 0.7836 0.6583
O5 0.4354 0.2164 0.3417
As1 0.5756 0.4244 0.7268
Co1 0.1701 0.8299 0.5104
O6 0.8773 0.4354 0.6582
O7 0.3520 0.6480 0.0559
Co2 0.8299 0.1701 0.4896
O8 0.6480 0.3520 0.9441
Ba1 0.0000 0.0000 0.0000
As2 0.4244 0.5756 0.2732

=====

# BaCoAs2O7 | OQMD via LeMat-Bulk | GGA+U | optimized geometry
# Density (g/cm3): 5.00
# VASP energy (eV/atom): -6.253
# SG: P-1 (2)
data_BaCoAs2O7
_chemical_formula_sum 'Ba2 Co2 As4 O14'
_space_group_name_H-M_alt 'P 1'
_space_group_IT_number 1
_space_group_name_Hall 'P 1'
_cell_length_a 5.5351
_cell_length_b 7.3041
_cell_length_c 7.7309
_cell_angle_alpha 101.52
_cell_angle_beta 91.72
_cell_angle_gamma 96.25
loop_
_atom_site_label
_atom_site_fract_x
_atom_site_fract_y
_atom_site_fract_z
O1 0.5803 0.9107 0.8070
As1 0.2961 0.6755 0.3994
O2 0.9088 0.1590 0.5909
O3 0.2757 0.5986 0.6046
O4 0.0657 0.8996 0.8074
O5 0.4197 0.0893 0.1930
As2 0.3098 0.7745 0.8038
O6 0.9343 0.1004 0.1926
Ba1 0.8039 0.7249 0.0756
O7 0.7001 0.3437 0.0295
O8 0.2080 0.4789 0.2507
As3 0.6902 0.2255 0.1962
As4 0.7039 0.3245 0.6006
O9 0.5856 0.7818 0.3947
Co1 0.1856 0.1198 0.3935
Co2 0.8144 0.8802 0.6065
O10 0.4144 0.2182 0.6053
Ba2 0.1961 0.2751 0.9244
O11 0.2999 0.6563 0.9705
O12 0.7920 0.5211 0.7493
O13 0.0912 0.8410 0.4092
O14 0.7243 0.4014 0.3954

=====

# BaCo2As2O8 | OQMD via LeMat-Bulk | GGA+U | optimized geometry
# ΔE to the lowest computed polymorph (meV per atom): 74
# Density (g/cm3): 5.12
# VASP energy (eV/atom): -6.187
# SG: P-1 (2)
data_BaCo2As2O8
_chemical_formula_sum 'Ba1 Co2 As2 O8'
_space_group_name_H-M_alt 'P 1'
_space_group_IT_number 1
_space_group_name_Hall 'P 1'
_cell_length_a 5.4518
_cell_length_b 5.4860
_cell_length_c 6.6839
_cell_angle_alpha 73.48
_cell_angle_beta 81.98
_cell_angle_gamma 64.36
loop_
_atom_site_label
_atom_site_fract_x
_atom_site_fract_y
_atom_site_fract_z
O1 0.6562 0.4180 0.7122
O2 0.6516 0.8547 0.3489
Ba1 0.0000 0.0000 0.0000
As1 0.3462 0.4034 0.7596
Co1 0.7053 0.7736 0.6583
O3 0.3484 0.1453 0.6511
O4 0.3049 0.2759 0.0193
O5 0.0889 0.7252 0.6720
Co2 0.2947 0.2264 0.3417
O6 0.3438 0.5820 0.2878
O7 0.9111 0.2748 0.3280
As2 0.6538 0.5966 0.2404
O8 0.6951 0.7241 0.9807